Below is crystalline KSnB2F8 at its relaxed geometry, with properties calculated at the PBE level.

Summary:
Symmetry: No. 148
Formation energy (no corrections): -2.622 eV/atom

Lattice parameters (Å, degrees): 4.7419 4.7419 9.9352 76.19 76.19 60.00
With the nearest neighbours (Å) after each atom.
Fractional coordinates of all 12 atoms:
K 0.5000 0.5000 0.5000  12 F 2.82-3.10
Sn 0.0000 0.0000 0.0000  6 F 2.78
B 0.2407 0.2407 0.2779  4 F 1.41-1.43
B 0.7593 0.7593 0.7221  4 F 1.41-1.43
F 0.1907 0.1907 0.4278  1 B 1.43
F 0.5421 0.2502 0.2313  1 B 1.41
F 0.8093 0.8093 0.5722  1 B 1.43
F 0.9764 0.5421 0.2313  1 B 1.41
F 0.0236 0.4579 0.7687  1 B 1.41
F 0.2502 0.9764 0.2313  1 B 1.41
F 0.7498 0.0236 0.7687  1 B 1.41
F 0.4579 0.7498 0.7687  1 B 1.41